#A
VASP calculation (PBE) on a geometry-optimized Dy2HoMg6 structure.

Calculated values
**Crystal system**: hexagonal

Unit cell a=9.0564 b=9.0564 c=3.2796 alpha=90.00 beta=90.00 gamma=120.00
Closest atoms and distances in Å follow each position.
Space group P6/mmm (No. 191)
Unique sites:
1 Dy 0.3333 0.6667 0.0000 [2 per cell]  2 Dy 3.28, 12 Mg 3.44
2 Ho 0.0000 0.0000 0.0000 [1 per cell]  2 Ho 3.28, 12 Mg 3.43
3 Mg 0.0000 0.3328 0.5000 [6 per cell]  5 Mg 3.01-3.28

#B
VASP calculation (PBE) on a geometry-optimized Dy2HoMg6 structure.

Calculated values
**Crystal system**: tetragonal

Unit cell a=6.1647 b=6.1647 c=15.0392 alpha=90.00 beta=90.00 gamma=90.00
Closest atoms and distances in Å follow each position.
Space group I-42m (No. 121)
Unique sites:
1 Dy 0.0000 0.0000 0.2080 [4 per cell]  1 Ho 3.13, 8 Mg 3.15-3.35
2 Ho 0.0000 0.0000 0.0000 [2 per cell]  2 Dy 3.13, 4 Mg 3.23
3 Mg 0.0000 0.5000 0.2500 [4 per cell]  4 Dy 3.15, 4 Mg 3.27
4 Mg 0.1685 0.1685 0.5953 [8 per cell]  3 Mg 2.94-3.27, 1 Ho 3.23

So which one wins? Going from most stable to least: #A, #B.